## AcLa5Tb2Pm (PBE-GGA)

Data for a geometry-optimized AcLa5Tb2Pm structure.

Summary:
**Symmetry**: P4/mbm (127)
**Formation energy from the elements**: 0.239 eV per atom
**E**: -4.51 eV per atom

a = 8.113 Å, b = 8.113 Å, c = 10.332 Å
α = 90.00°, β = 90.00°, γ = 90.00°
Fractional coordinates of all 18 atoms:
Ac1 0.000 0.000 0.000
Ac2 0.500 0.500 0.000
La1 0.000 0.000 0.500
La2 0.195 0.305 0.248
La3 0.195 0.305 0.752
La4 0.305 0.805 0.248
La5 0.305 0.805 0.752
La6 0.500 0.500 0.500
La7 0.695 0.195 0.248
La8 0.695 0.195 0.752
La9 0.805 0.695 0.248
La10 0.805 0.695 0.752
Tb1 0.130 0.630 0.500
Tb2 0.370 0.130 0.500
Tb3 0.630 0.870 0.500
Tb4 0.870 0.370 0.500
Pm1 0.000 0.500 0.000
Pm2 0.500 0.000 0.000